Record 1
KOs2O6 (PBEsol, optimized geometry); formation energy from raw total energies = -1175 meV/atom
1.0
7.161 0.000 0.000
3.580 6.201 0.000
3.580 2.067 5.847
O Os K
12 4 2
Direct
0.441 0.059 0.441
0.809 0.809 0.191
0.809 0.191 0.191
0.809 0.191 0.809
0.191 0.809 0.809
0.441 0.441 0.059
0.059 0.441 0.059
0.059 0.059 0.441
0.191 0.809 0.191
0.059 0.441 0.441
0.441 0.059 0.059
0.191 0.191 0.809
0.125 0.625 0.125
0.125 0.125 0.625
0.625 0.125 0.125
0.125 0.125 0.125
0.750 0.750 0.750
0.500 0.500 0.500



Record 2
K2OsO5 (PBEsol, optimized geometry); formation energy from raw total energies = -1333 meV/atom
1.0
-7.309 3.257 -1.775
-3.364 -2.135 9.933
4.700 9.369 -2.160
O K Os
30 12 6
Direct
0.500 0.528 0.832
0.000 0.498 0.637
0.813 0.703 0.801
0.000 0.909 0.111
0.313 0.568 0.036
0.813 0.099 0.297
0.500 0.465 0.242
0.313 0.468 0.432
0.687 0.468 0.432
0.000 0.202 0.091
0.187 0.703 0.801
0.687 0.568 0.036
0.687 0.964 0.532
0.187 0.099 0.297
0.500 0.758 0.222
0.000 0.363 0.862
0.187 0.199 0.901
0.500 0.778 0.535
0.000 0.861 0.324
0.000 0.138 0.502
0.000 0.462 0.139
0.500 0.805 0.010
0.500 0.990 0.796
0.000 0.676 0.538
0.500 0.168 0.696
0.813 0.199 0.901
0.000 0.889 0.798
0.500 0.304 0.472
0.500 0.204 0.195
0.313 0.964 0.532
0.500 0.685 0.713
0.264 0.667 0.333
0.500 0.287 0.972
0.000 0.639 0.018
0.250 0.333 0.667
0.736 0.667 0.333
0.000 0.982 0.621
0.236 0.000 0.000
0.750 0.333 0.667
0.500 0.028 0.315
0.764 0.000 0.000
0.000 0.379 0.361
0.500 0.973 0.621
0.000 0.288 0.981
0.000 0.693 0.712
0.500 0.647 0.027
0.500 0.379 0.353
0.000 0.019 0.307



Record 3
KOsO2 (PBEsol, optimized geometry); formation energy from raw total energies = -574 meV/atom
1.0
4.900 0.000 0.000
0.000 4.900 0.000
-2.450 -2.450 5.570
O Os K
4 2 2
Direct
0.016 0.375 0.250
0.125 0.984 0.750
0.625 0.766 0.750
0.234 0.875 0.250
0.000 0.000 0.000
0.250 0.750 0.500
0.500 0.500 0.000
0.750 0.250 0.500



Record 4
KOs2O6 (PBEsol, optimized geometry); formation energy from raw total energies = -1204 meV/atom
1.0
-2.217 2.924 -4.246
0.498 -3.951 -5.082
-6.251 -3.063 -2.045
O Os K
12 4 2
Direct
0.379 0.608 0.260
0.515 0.813 0.460
0.302 0.219 0.237
0.699 0.961 0.037
0.900 0.522 0.324
0.100 0.478 0.676
0.485 0.187 0.540
0.621 0.392 0.740
0.985 0.109 0.625
0.698 0.781 0.763
0.301 0.039 0.963
0.015 0.891 0.375
0.815 0.642 0.549
0.633 0.087 0.763
0.185 0.358 0.451
0.367 0.913 0.237
0.808 0.296 0.112
0.192 0.704 0.888